1.
Density functional theory data (PBE) for a geometry-optimized InRhW structure.

```
InRhW
1.0
1.947 -4.730 3.605
3.997 -1.289 4.639
-4.436 3.465 -2.734
In Rh W
1 1 1
Direct
0.996 0.996 0.000
0.324 0.324 0.000
0.681 0.681 0.000
```

space group: I4mm (107)
DFT total energy: -22.964 eV per cell

---

2.
Density functional theory data (PBE) for a geometry-optimized In2RhW structure.

```
In2RhW
1.0
1.393 3.324 4.267
1.706 5.138 -1.371
-4.075 -3.819 0.050
In Rh W
2 1 1
Direct
0.764 0.764 0.000
0.236 0.236 0.000
0.000 0.500 0.500
0.500 0.000 0.500
```

ΔE to the lowest computed polymorph: 0.2589 eV/atom
space group: Immm (71)
DFT total energy: -24.253 eV per cell

---

3.
Density functional theory data (PBE) for a geometry-optimized In2RhW structure.

```
In2RhW
1.0
2.963 0.000 0.000
0.000 2.963 0.000
0.000 0.000 8.685
In Rh W
2 1 1
Direct
0.000 0.000 0.966
0.500 0.500 0.293
0.000 0.000 0.526
0.500 0.500 0.716
```

ΔE to the lowest computed polymorph: 0.0000 eV/atom
space group: P4mm (99)
DFT total energy: -25.288 eV per cell

---

4.
Density functional theory data (PBE) for a geometry-optimized In2RhW structure.

```
In2RhW
1.0
4.493 2.985 0.000
-4.493 2.985 0.000
0.000 1.054 2.706
In Rh W
2 1 1
Direct
0.000 0.500 0.000
0.500 0.000 0.000
0.000 0.000 0.500
0.500 0.500 0.500
```

ΔE to the lowest computed polymorph: 0.2453 eV/atom
space group: C2/m (12)
DFT total energy: -24.307 eV per cell

---

5.
Density functional theory data (PBE) for a geometry-optimized InRhW2 structure.

```
InRhW2
1.0
-2.685 0.253 -2.702
1.936 -2.484 -2.157
-2.267 -3.444 1.931
In Rh W
1 1 2
Direct
0.500 0.500 0.500
0.000 0.000 0.500
0.000 0.500 0.000
0.500 0.000 0.000
```

space group: P4/mmm (123)
DFT total energy: -34.978 eV per cell

---

6.
Density functional theory data (PBE) for a geometry-optimized In2RhW structure.

```
In2RhW
1.0
-1.277 -4.562 0.790
2.568 -0.016 4.059
-2.470 0.963 1.567
In Rh W
2 1 1
Direct
0.500 0.000 0.000
0.000 0.500 0.000
0.500 0.500 0.500
0.000 0.000 0.500
```

ΔE to the lowest computed polymorph: 0.1601 eV/atom
space group: P4/mmm (123)
DFT total energy: -24.648 eV per cell

---

7.
Density functional theory data (PBE) for a geometry-optimized InRh2W structure.

```
InRh2W
1.0
4.667 0.000 0.000
0.000 2.872 -0.065
0.000 0.113 4.764
In Rh W
1 2 1
Direct
0.500 0.626 0.823
0.000 0.126 0.931
0.500 0.125 0.314
0.000 0.624 0.433
```

space group: Pm (6)
DFT total energy: -30.555 eV per cell

---

8.
Density functional theory data (PBE) for a geometry-optimized InRh2W structure.

```
InRh2W
1.0
1.919 4.978 1.677
-3.455 4.290 0.967
1.726 -5.188 1.176
In Rh W
1 2 1
Direct
0.752 0.252 0.500
0.009 0.009 0.000
0.258 0.758 0.500
0.481 0.481 0.000
```

space group: Imm2 (44)
DFT total energy: -30.078 eV per cell

---

9.
Density functional theory data (PBE) for a geometry-optimized InRhW structure.

```
InRhW
1.0
2.271 -3.934 0.000
2.271 3.934 0.000
0.000 0.000 2.809
In Rh W
1 1 1
Direct
0.000 0.000 0.000
0.667 0.333 0.000
0.333 0.667 0.500
```

space group: P-6m2 (187)
DFT total energy: -22.238 eV per cell

---

10.
Density functional theory data (PBE) for a geometry-optimized InRh2W structure.

```
InRh2W
1.0
-0.787 -4.717 1.629
-0.593 -0.386 5.003
-2.019 2.902 -3.610
In Rh W
1 2 1
Direct
0.750 0.250 0.500
0.000 0.000 0.000
0.250 0.750 0.500
0.500 0.500 0.000
```

space group: I-4m2 (119)
DFT total energy: -30.145 eV per cell

---

11.
Density functional theory data (PBE) for a geometry-optimized InRh2W structure.

```
InRh2W
1.0
8.980 -1.446 -0.001
8.980 1.446 -0.001
8.747 0.000 2.492
In Rh W
1 2 1
Direct
0.500 0.500 0.500
0.746 0.746 0.746
0.254 0.254 0.254
0.000 0.000 0.000
```

space group: R-3m (166)
DFT total energy: -30.555 eV per cell

---

12.
Density functional theory data (PBE) for a geometry-optimized InRhW2 structure.

```
InRhW2
1.0
-1.520 2.539 1.355
-2.869 -1.215 -0.940
-0.445 -3.193 5.485
In Rh W
1 1 2
Direct
0.500 0.500 0.509
0.000 0.000 0.754
0.500 0.500 0.012
0.000 0.000 0.225
```

space group: P4mm (99)
DFT total energy: -35.334 eV per cell